This record from the Alexandria database describes a PBEsol-optimized structure of Ca2ScCr. The functional is SCAN.

abc: 5.3455 5.3455 5.3455
angles: 60.00 60.00 60.00
Each line ends with the local moment (μB).
Fractional positions:
Ca 0.7500 0.7500 0.7500  0.01
Ca 0.2500 0.2500 0.2500  0.01
Cr 0.0000 0.0000 0.0000  4.00
Sc 0.5000 0.5000 0.5000  -0.26

Summary:
E_form: 0.394 eV per atom
Polymorph energy (0 for the lowest one): 205 meV/atom
Magnetic moment: 4.5 μB per cell
VASP energy: -12.59 eV/atom